Record 1
Material: CaNd6Dy3Y2
Method: DFT, PBE-GGA
State: optimized geometry

Cell: 6.321 6.321 11.960 Å, 95.02 95.02 119.98°
Element x y z (fractional)
Ca  0.000  0.000  0.000
Nd  0.915  0.575  0.746
Nd  0.746  0.746  0.254
Nd  0.085  0.425  0.254
Nd  0.575  0.915  0.746
Nd  0.254  0.254  0.746
Nd  0.425  0.085  0.254
Dy  0.167  0.833  0.500
Dy  0.833  0.167  0.500
Dy  0.500  0.500  0.500
Y  0.333  0.667  0.000
Y  0.667  0.333  0.000

Properties
* energy of formation: 0.03 eV/atom
* space group: No. 12

Record 2
Material: La3GeBi
Method: DFT, PBE-GGA
State: optimized geometry

Cell: 8.661 8.827 8.827 Å, 84.86 90.12 90.12°
Element x y z (fractional)
La  0.589  0.818  0.989
La  0.911  0.011  0.182
La  0.411  0.182  0.011
La  0.089  0.989  0.818
La  0.810  0.434  0.065
La  0.690  0.935  0.566
La  0.190  0.566  0.935
La  0.310  0.065  0.434
La  0.587  0.524  0.692
La  0.913  0.308  0.476
La  0.413  0.476  0.308
La  0.087  0.692  0.524
Ge  0.873  0.705  0.809
Ge  0.627  0.191  0.295
Ge  0.127  0.295  0.191
Ge  0.373  0.809  0.705
Bi  0.250  0.829  0.171
Bi  0.750  0.171  0.829
Bi  0.250  0.339  0.661
Bi  0.750  0.661  0.339

Properties
* energy of formation: -0.73 eV/atom
* space group: No. 15

Record 3
Material: Np2CrMoN5
Method: DFT, PBE-GGA
State: optimized geometry

Cell: 3.152 6.587 9.963 Å, 90.00 90.00 103.84°
Element x y z (fractional)
Np  0.852  0.704  0.808
Np  0.105  0.210  0.683
Np  0.148  0.296  0.308
Np  0.895  0.790  0.183
Cr  0.534  0.067  0.958
Cr  0.466  0.933  0.458
Mo  0.797  0.594  0.509
Mo  0.203  0.406  0.009
N  0.372  0.744  0.000
N  0.677  0.354  0.864
N  0.486  0.972  0.781
N  0.281  0.563  0.659
N  0.951  0.902  0.563
N  0.628  0.256  0.500
N  0.323  0.646  0.364
N  0.514  0.028  0.281
N  0.719  0.437  0.159
N  0.049  0.098  0.063

Properties
* space group: No. 36
* formation energy without anion corrections: -719 kJ/mol of formula units

Record 4
Material: Na2ZrBr
Method: DFT, PBE-GGA
State: optimized geometry

Cell: 9.035 9.035 6.978 Å, 49.66 49.66 90.00°
Element x y z (fractional)
Na  0.569  0.125  0.250
Na  0.181  0.625  0.250
Na  0.375  0.431  0.750
Na  0.875  0.819  0.750
Br  0.500  0.500  0.000
Br  0.250  0.750  0.500
Zr  0.000  0.000  0.000
Zr  0.750  0.250  0.500

Properties
* space group: No. 122
* formation energy without anion corrections: 87 kJ/mol of formula units

E_tot values, unit eV per atom, following the record order: -4.75; -5.38; -10.60; -2.99.